<A>
DFT (PBE) results for crystalline Pr6PdRu2 at its relaxed geometry. Values from VASP.

Calculated values
* DOS at the Fermi energy: 6.26 states/eV per cell
* space-group type: No. 12

Quantum ESPRESSO input file:
```
&SYSTEM
  ibrav = 0, nat = 9, ntyp = 3
/
ATOMIC_SPECIES
Pr 140.91 Pr.upf
Pd 106.42 Pd.upf
Ru 101.07 Ru.upf
CELL_PARAMETERS angstrom
4.491 -2.589 0.000
4.491 2.589 0.000
-0.010 0.000 11.473
ATOMIC_POSITIONS crystal
Pr 0.000 0.000 0.237
Pr 0.000 0.000 0.763
Pr 0.333 0.333 0.411
Pr 0.333 0.333 0.918
Pr 0.667 0.667 0.082
Pr 0.667 0.667 0.589
Pd 0.000 0.000 0.500
Ru 0.333 0.333 0.169
Ru 0.667 0.667 0.831
```

<B>
DFT (PBE) results for crystalline Pr6PdRu2 at its relaxed geometry. Values from VASP.

Calculated values
* DOS at the Fermi energy: 14.84 states/eV per cell
* space-group type: No. 71

Quantum ESPRESSO input file:
```
&SYSTEM
  ibrav = 0, nat = 18, ntyp = 3
/
ATOMIC_SPECIES
Pr 140.91 Pr.upf
Pd 106.42 Pd.upf
Ru 101.07 Ru.upf
CELL_PARAMETERS angstrom
-4.925 4.937 5.183
4.925 -4.937 5.183
4.925 4.937 -5.183
ATOMIC_POSITIONS crystal
Pr 0.054 0.242 0.812
Pr 0.180 0.277 0.457
Pr 0.180 0.723 0.902
Pr 0.329 0.013 0.684
Pr 0.329 0.645 0.316
Pr 0.430 0.242 0.188
Pr 0.570 0.758 0.812
Pr 0.671 0.355 0.684
Pr 0.671 0.987 0.316
Pr 0.820 0.277 0.098
Pr 0.820 0.723 0.543
Pr 0.946 0.758 0.188
Pd 0.000 0.000 0.000
Pd 0.500 0.500 0.000
Ru 0.122 0.622 0.500
Ru 0.322 0.000 0.322
Ru 0.678 0.000 0.678
Ru 0.878 0.378 0.500
```

<B> ends up most stable, edging out the next structure by 52 meV/atom.

<A>
DFT (PBE) results for crystalline Pr2PdS at its relaxed geometry. Values from VASP.

Calculated values
* DOS at the Fermi energy: 9.89 states/eV per cell
* space-group type: No. 160

Quantum ESPRESSO input file:
```
&SYSTEM
  ibrav = 0, nat = 12, ntyp = 3
/
ATOMIC_SPECIES
Pr 140.91 Pr.upf
Pd 106.42 Pd.upf
S 32.06 S.upf
CELL_PARAMETERS angstrom
4.047 0.000 0.000
-2.023 3.505 0.000
0.000 0.000 22.510
ATOMIC_POSITIONS crystal
Pr 0.000 0.000 0.000
Pr 0.000 0.000 0.173
Pr 0.333 0.667 0.667
Pr 0.333 0.667 0.840
Pr 0.667 0.333 0.333
Pr 0.667 0.333 0.506
Pd 0.000 0.000 0.587
Pd 0.333 0.667 0.254
Pd 0.667 0.333 0.920
S 0.000 0.000 0.419
S 0.333 0.667 0.086
S 0.667 0.333 0.752
```

<B>
DFT (PBE) results for crystalline Pr2PdS at its relaxed geometry. Values from VASP.

Calculated values
* DOS at the Fermi energy: 11.22 states/eV per cell
* space-group type: No. 63

Quantum ESPRESSO input file:
```
&SYSTEM
  ibrav = 0, nat = 16, ntyp = 3
/
ATOMIC_SPECIES
Pr 140.91 Pr.upf
Pd 106.42 Pd.upf
S 32.06 S.upf
CELL_PARAMETERS angstrom
4.022 0.000 0.000
0.000 23.700 0.000
0.000 0.000 4.222
ATOMIC_POSITIONS crystal
Pr 0.000 0.068 0.250
Pr 0.000 0.311 0.250
Pr 0.000 0.689 0.750
Pr 0.000 0.932 0.750
Pr 0.500 0.189 0.750
Pr 0.500 0.432 0.750
Pr 0.500 0.568 0.250
Pr 0.500 0.811 0.250
Pd 0.000 0.457 0.250
Pd 0.000 0.543 0.750
Pd 0.500 0.043 0.750
Pd 0.500 0.957 0.250
S 0.000 0.190 0.250
S 0.000 0.810 0.750
S 0.500 0.310 0.750
S 0.500 0.690 0.250
```

<B> ends up most stable, edging out the next structure by 182 meV/atom.

<A>
DFT (PBE) results for crystalline Pr2SbPd3 at its relaxed geometry. Values from VASP.

Calculated values
* DOS at the Fermi energy: 6.26 states/eV per cell
* space-group type: No. 69

Quantum ESPRESSO input file:
```
&SYSTEM
  ibrav = 0, nat = 12, ntyp = 3
/
ATOMIC_SPECIES
Pr 140.91 Pr.upf
Sb 121.76 Sb.upf
Pd 106.42 Pd.upf
CELL_PARAMETERS angstrom
0.000 4.517 8.109
3.914 0.000 8.109
3.914 4.517 0.000
ATOMIC_POSITIONS crystal
Pr 0.240 0.760 0.760
Pr 0.250 0.250 0.250
Pr 0.750 0.750 0.750
Pr 0.760 0.240 0.240
Sb 0.337 0.337 0.663
Sb 0.663 0.663 0.337
Pd 0.166 0.669 0.331
Pd 0.173 0.173 0.827
Pd 0.331 0.834 0.166
Pd 0.669 0.166 0.834
Pd 0.827 0.827 0.173
Pd 0.834 0.331 0.669
```

<B>
DFT (PBE) results for crystalline Pr2SbPd3 at its relaxed geometry. Values from VASP.

Calculated values
* DOS at the Fermi energy: 5.57 states/eV per cell
* space-group type: No. 194

Quantum ESPRESSO input file:
```
&SYSTEM
  ibrav = 0, nat = 12, ntyp = 3
/
ATOMIC_SPECIES
Pr 140.91 Pr.upf
Sb 121.76 Sb.upf
Pd 106.42 Pd.upf
CELL_PARAMETERS angstrom
4.592 0.000 0.000
-2.296 3.976 0.000
0.000 0.000 15.652
ATOMIC_POSITIONS crystal
Pr 0.000 0.000 0.118
Pr 0.000 0.000 0.382
Pr 0.000 0.000 0.618
Pr 0.000 0.000 0.882
Sb 0.333 0.667 0.250
Sb 0.667 0.333 0.750
Pd 0.333 0.667 0.001
Pd 0.333 0.667 0.499
Pd 0.333 0.667 0.750
Pd 0.667 0.333 0.250
Pd 0.667 0.333 0.501
Pd 0.667 0.333 0.999
```

<B> ends up most stable, edging out the next structure by 44 meV/atom.

<A>
DFT (PBE) results for crystalline Pr2SbPd6 at its relaxed geometry. Values from VASP.

Calculated values
* DOS at the Fermi energy: 5.58 states/eV per cell
* space-group type: No. 12

Quantum ESPRESSO input file:
```
&SYSTEM
  ibrav = 0, nat = 9, ntyp = 3
/
ATOMIC_SPECIES
Pr 140.91 Pr.upf
Sb 121.76 Sb.upf
Pd 106.42 Pd.upf
CELL_PARAMETERS angstrom
5.018 -2.946 0.000
5.018 2.946 0.000
-1.437 0.000 6.135
ATOMIC_POSITIONS crystal
Pr 0.141 0.141 0.329
Pr 0.859 0.859 0.671
Sb 0.500 0.500 0.500
Pd 0.101 0.631 0.177
Pd 0.369 0.899 0.823
Pd 0.372 0.372 0.816
Pd 0.628 0.628 0.184
Pd 0.631 0.101 0.177
Pd 0.899 0.369 0.823
```

<B>
DFT (PBE) results for crystalline Pr2SbPd6 at its relaxed geometry. Values from VASP.

Calculated values
* DOS at the Fermi energy: 5.58 states/eV per cell
* space-group type: No. 12

Quantum ESPRESSO input file:
```
&SYSTEM
  ibrav = 0, nat = 9, ntyp = 3
/
ATOMIC_SPECIES
Pr 140.91 Pr.upf
Sb 121.76 Sb.upf
Pd 106.42 Pd.upf
CELL_PARAMETERS angstrom
5.093 -2.940 0.000
5.093 2.940 0.000
-0.002 0.000 6.045
ATOMIC_POSITIONS crystal
Pr 0.168 0.168 0.321
Pr 0.832 0.832 0.679
Sb 0.500 0.500 0.500
Pd 0.147 0.677 0.178
Pd 0.323 0.323 0.820
Pd 0.323 0.853 0.822
Pd 0.677 0.147 0.178
Pd 0.677 0.677 0.180
Pd 0.853 0.323 0.822
```

<B> ends up most stable, edging out the next structure by 18 meV/atom.

<A>
DFT (PBE) results for crystalline PrSb2Pd7 at its relaxed geometry. Values from VASP.

Calculated values
* DOS at the Fermi energy: 5.61 states/eV per cell
* space-group type: No. 139

Quantum ESPRESSO input file:
```
&SYSTEM
  ibrav = 0, nat = 10, ntyp = 3
/
ATOMIC_SPECIES
Pr 140.91 Pr.upf
Sb 121.76 Sb.upf
Pd 106.42 Pd.upf
CELL_PARAMETERS angstrom
-2.123 2.123 10.815
2.123 -2.123 10.815
2.123 2.123 -10.815
ATOMIC_POSITIONS crystal
Pr 0.000 0.000 0.000
Sb 0.327 0.327 0.000
Sb 0.673 0.673 0.000
Pd 0.098 0.598 0.500
Pd 0.250 0.750 0.500
Pd 0.402 0.902 0.500
Pd 0.500 0.500 0.000
Pd 0.598 0.098 0.500
Pd 0.750 0.250 0.500
Pd 0.902 0.402 0.500
```

<B>
DFT (PBE) results for crystalline PrSb2Pd7 at its relaxed geometry. Values from VASP.

Calculated values
* DOS at the Fermi energy: 3.52 states/eV per cell
* space-group type: No. 65

Quantum ESPRESSO input file:
```
&SYSTEM
  ibrav = 0, nat = 10, ntyp = 3
/
ATOMIC_SPECIES
Pr 140.91 Pr.upf
Sb 121.76 Sb.upf
Pd 106.42 Pd.upf
CELL_PARAMETERS angstrom
3.747 -6.494 0.000
3.747 6.494 0.000
0.000 0.000 4.671
ATOMIC_POSITIONS crystal
Pr 0.000 0.000 0.000
Sb 0.302 0.698 0.500
Sb 0.698 0.302 0.500
Pd 0.067 0.295 0.500
Pd 0.217 0.783 0.000
Pd 0.295 0.067 0.500
Pd 0.500 0.500 0.500
Pd 0.705 0.933 0.500
Pd 0.783 0.217 0.000
Pd 0.933 0.705 0.500
```

<A> ends up most stable, edging out the next structure by 234 meV/atom.